Computed, not measured: a relaxed structure of Tb6NdDy2 at the PBE level of DFT.

Values from the calculation:
Energy of formation from the pure elements, eV per atom: 0.196
Space-group type: C2/m, No. 12
Magnetic moment, Bohr magnetons per cell: 0.0
Density of states at the Fermi level, states/eV/atom: 2.17
VASP energy, eV/cell: -39.99

```
Tb6NdDy2
1.0
5.7787 -1.7297 0.0000
5.7787 1.7297 0.0000
-2.8743 0.0000 15.0057
Tb Nd Dy
6 1 2
direct
0.0400 0.0400 0.2325
0.2934 0.2934 0.1051
0.3735 0.3735 0.5624
0.6265 0.6265 0.4376
0.7066 0.7066 0.8949
0.9600 0.9600 0.7675
0.0000 0.0000 0.0000
0.3326 0.3326 0.3340
0.6674 0.6674 0.6660
```